i | NbGeW after structural relaxation. Source: the Open Quantum Materials Database, functional GGA-PBE.

Unit cell a=7.0934 b=7.0934 c=3.3657 alpha=90.00 beta=90.00 gamma=120.00
Space group P-62m (No. 189)
Asymmetric unit:
Nb 0.0000 0.4006 0.0000 [3 per cell]
Ge 0.0000 0.0000 0.0000 [1 per cell]
Ge 0.3333 0.6667 0.5000 [2 per cell]
W 0.0000 0.7379 0.5000 [3 per cell]


ii | NbGeW after structural relaxation. Source: the Open Quantum Materials Database, functional GGA-PBE.

Unit cell a=6.186 b=6.186 c=6.186 alpha=90.00 beta=90.00 gamma=90.00
Space group F-43m (No. 216)
Asymmetric unit:
Nb 0.000 0.000 0.000 [4 per cell]
Ge 0.000 0.000 0.500 [4 per cell]
W 0.250 0.250 0.750 [4 per cell]


i is the most stable structure; the next one sits 0.846 eV/atom above it.


i | ZrNb2Ge2 after structural relaxation. Source: the Open Quantum Materials Database, functional GGA-PBE.

Unit cell a=7.053 b=7.053 c=3.555 alpha=90.00 beta=90.00 gamma=90.00
Space group P4/mbm (No. 127)
Asymmetric unit:
Zr 0.000 0.000 0.000 [2 per cell]
Nb 0.168 0.332 0.500 [4 per cell]
Ge 0.130 0.630 0.000 [4 per cell]


ii | ZrNb2Ge2 after structural relaxation. Source: the Open Quantum Materials Database, functional GGA-PBE.

Unit cell a=4.807 b=4.807 c=8.417 alpha=90.00 beta=90.00 gamma=90.00
Space group I4/mmm (No. 139)
Asymmetric unit:
Zr 0.000 0.000 0.000 [2 per cell]
Nb 0.000 0.000 0.347 [4 per cell]
Ge 0.000 0.500 0.250 [4 per cell]


iii | ZrNb2Ge2 after structural relaxation. Source: the Open Quantum Materials Database, functional GGA-PBE.

Unit cell a=3.958 b=3.958 c=11.902 alpha=90.00 beta=90.00 gamma=90.00
Space group I4/mmm (No. 139)
Asymmetric unit:
Zr 0.000 0.000 0.000 [2 per cell]
Nb 0.000 0.500 0.250 [4 per cell]
Ge 0.000 0.000 0.400 [4 per cell]


i is the most stable structure; the next one sits 0.157 eV/atom above it.


i | Nd2Ge after structural relaxation. Source: the Open Quantum Materials Database, functional GGA-PBE.

Unit cell a=7.089 b=4.760 c=9.941 alpha=90.00 beta=90.00 gamma=90.00
Space group Pnma (No. 62)
Asymmetric unit:
Nd 0.070 0.250 0.189 [4 per cell]
Nd 0.151 0.250 0.549 [4 per cell]
Ge 0.212 0.250 0.870 [4 per cell]


ii | Nd2Ge after structural relaxation. Source: the Open Quantum Materials Database, functional GGA-PBE.

Unit cell a=12.885 b=12.885 c=12.885 alpha=90.00 beta=90.00 gamma=90.00
Space group Fd-3m (No. 227, origin choice 2)
Asymmetric unit:
Nd 0.000 0.000 0.000 [16 per cell]
Ge 0.125 0.125 0.125 [8 per cell]


i is the most stable structure; the next one sits 1.541 eV/atom above it.


i | Nd2Ge after structural relaxation. Source: the Open Quantum Materials Database, functional GGA-PBE.

Unit cell a=7.155 b=7.155 c=7.155 alpha=90.00 beta=90.00 gamma=90.00
Space group Fm-3m (No. 225)
Asymmetric unit:
Nd 0.250 0.250 0.250 [8 per cell]
Ge 0.000 0.000 0.000 [4 per cell]


ii | Nd2Ge after structural relaxation. Source: the Open Quantum Materials Database, functional GGA-PBE.

Unit cell a=8.2122 b=8.2122 c=4.3203 alpha=90.00 beta=90.00 gamma=120.00
Space group P-62m (No. 189)
Asymmetric unit:
Nd 0.0000 0.4102 0.0000 [3 per cell]
Nd 0.0000 0.7342 0.5000 [3 per cell]
Ge 0.0000 0.0000 0.0000 [1 per cell]
Ge 0.3333 0.6667 0.5000 [2 per cell]


iii | Nd2Ge after structural relaxation. Source: the Open Quantum Materials Database, functional GGA-PBE.

Unit cell a=8.846 b=8.846 c=8.846 alpha=90.00 beta=90.00 gamma=90.00
Space group Fd-3m (No. 227, origin choice 2)
Asymmetric unit:
Nd 0.000 0.000 0.000 [16 per cell]
Ge 0.125 0.125 0.625 [8 per cell]


ii is the most stable structure; the next one sits 0.069 eV/atom above it.


i | Nd2Ge2O5 after structural relaxation. Source: the Open Quantum Materials Database, functional GGA-PBE.

Unit cell a=4.104 b=4.104 c=6.889 alpha=90.00 beta=90.00 gamma=90.00
Space group P4/mmm (No. 123)
Asymmetric unit:
Nd 0.000 0.000 0.000 [1 per cell]
Nd 0.000 0.000 0.500 [1 per cell]
Ge 0.500 0.500 0.222 [2 per cell]
O 0.000 0.500 0.239 [4 per cell]
O 0.500 0.500 0.500 [1 per cell]


ii | Nd2Ge2O5 after structural relaxation. Source: the Open Quantum Materials Database, functional GGA-PBE.

Unit cell a=3.679 b=3.679 c=9.838 alpha=90.00 beta=90.00 gamma=90.00
Space group P4/mmm (No. 123)
Asymmetric unit:
Nd 0.000 0.000 0.245 [2 per cell]
Ge 0.500 0.500 0.000 [1 per cell]
Ge 0.500 0.500 0.500 [1 per cell]
O 0.000 0.000 0.000 [1 per cell]
O 0.000 0.500 0.378 [4 per cell]


i is the most stable structure; the next one sits 0.262 eV/atom above it.


i | Nd2GeO4 after structural relaxation. Source: the Open Quantum Materials Database, functional GGA-PBE.

Unit cell a=9.875 b=9.875 c=9.875 alpha=90.00 beta=90.00 gamma=90.00
Space group Fd-3m (No. 227, origin choice 2)
Asymmetric unit:
Nd 0.000 0.000 0.000 [16 per cell]
Ge 0.125 0.125 0.625 [8 per cell]
O 0.009 0.009 0.241 [32 per cell]


ii | Nd2GeO4 after structural relaxation. Source: the Open Quantum Materials Database, functional GGA-PBE.

Unit cell a=13.512 b=3.769 c=9.914 alpha=90.00 beta=116.87 gamma=90.00
Space group C2/m (No. 12)
Asymmetric unit:
Nd 0.122 0.000 0.454 [4 per cell]
Nd 0.158 0.500 0.793 [4 per cell]
Ge 0.086 0.500 0.114 [4 per cell]
O 0.055 0.500 0.273 [4 per cell]
O 0.074 0.000 0.657 [4 per cell]
O 0.207 0.500 0.078 [4 per cell]
O 0.220 0.500 0.605 [4 per cell]


ii is the most stable structure; the next one sits 0.182 eV/atom above it.


i | PrNd2Si2Ge2Pd4 after structural relaxation. Source: the Open Quantum Materials Database, functional GGA-PBE.

Unit cell a=4.205 b=4.306 c=24.964 alpha=90.00 beta=90.00 gamma=90.00
Space group Immm (No. 71)
Asymmetric unit:
Pr 0.000 0.000 0.000 [2 per cell]
Nd 0.000 0.500 0.146 [4 per cell]
Si 0.000 0.000 0.452 [4 per cell]
Ge 0.000 0.500 0.306 [4 per cell]
Pd 0.000 0.000 0.250 [4 per cell]
Pd 0.000 0.500 0.406 [4 per cell]


ii | PrNd2Si2Ge2Pd4 after structural relaxation. Source: the Open Quantum Materials Database, functional GGA-PBE.

Unit cell a=4.157 b=4.340 c=24.902 alpha=90.00 beta=90.00 gamma=90.00
Space group Immm (No. 71)
Asymmetric unit:
Pr 0.000 0.000 0.000 [2 per cell]
Nd 0.000 0.500 0.149 [4 per cell]
Si 0.000 0.500 0.302 [4 per cell]
Ge 0.000 0.000 0.450 [4 per cell]
Pd 0.000 0.000 0.249 [4 per cell]
Pd 0.000 0.500 0.399 [4 per cell]


ii is the most stable structure; the next one sits 0.041 eV/atom above it.


i | Pr2NdSi2Ge2Pd4 after structural relaxation. Source: the Open Quantum Materials Database, functional GGA-PBE.

Unit cell a=4.148 b=4.343 c=25.028 alpha=90.00 beta=90.00 gamma=90.00
Space group Immm (No. 71)
Asymmetric unit:
Pr 0.000 0.000 0.148 [4 per cell]
Nd 0.000 0.500 0.000 [2 per cell]
Si 0.000 0.000 0.302 [4 per cell]
Ge 0.000 0.500 0.450 [4 per cell]
Pd 0.000 0.000 0.399 [4 per cell]
Pd 0.000 0.500 0.249 [4 per cell]


ii | Pr2NdSi2Ge2Pd4 after structural relaxation. Source: the Open Quantum Materials Database, functional GGA-PBE.

Unit cell a=4.204 b=4.316 c=25.041 alpha=90.00 beta=90.00 gamma=90.00
Space group Immm (No. 71)
Asymmetric unit:
Pr 0.000 0.000 0.146 [4 per cell]
Nd 0.000 0.500 0.000 [2 per cell]
Si 0.000 0.500 0.452 [4 per cell]
Ge 0.000 0.000 0.306 [4 per cell]
Pd 0.000 0.000 0.407 [4 per cell]
Pd 0.000 0.500 0.250 [4 per cell]


i is the most stable structure; the next one sits 0.036 eV/atom above it.


i | NdReGe after structural relaxation. Source: the Open Quantum Materials Database, functional GGA-PBE.

Unit cell a=6.452 b=6.452 c=6.452 alpha=90.00 beta=90.00 gamma=90.00
Space group F-43m (No. 216)
Asymmetric unit:
Nd 0.000 0.000 0.000 [4 per cell]
Re 0.000 0.000 0.500 [4 per cell]
Ge 0.250 0.250 0.250 [4 per cell]


ii | NdReGe after structural relaxation. Source: the Open Quantum Materials Database, functional GGA-PBE.

Unit cell a=6.752 b=6.752 c=6.752 alpha=90.00 beta=90.00 gamma=90.00
Space group F-43m (No. 216)
Asymmetric unit:
Nd 0.000 0.000 0.000 [4 per cell]
Re 0.250 0.250 0.250 [4 per cell]
Ge 0.250 0.250 0.750 [4 per cell]


i is the most stable structure; the next one sits 0.938 eV/atom above it.


i | NdSiGe after structural relaxation. Source: the Open Quantum Materials Database, functional GGA-PBE.

Unit cell a=6.681 b=6.681 c=6.681 alpha=90.00 beta=90.00 gamma=90.00
Space group F-43m (No. 216)
Asymmetric unit:
Nd 0.000 0.000 0.000 [4 per cell]
Si 0.250 0.250 0.750 [4 per cell]
Ge 0.000 0.000 0.500 [4 per cell]


ii | NdSiGe after structural relaxation. Source: the Open Quantum Materials Database, functional GGA-PBE.

Unit cell a=6.854 b=6.854 c=6.854 alpha=90.00 beta=90.00 gamma=90.00
Space group F-43m (No. 216)
Asymmetric unit:
Nd 0.000 0.000 0.000 [4 per cell]
Si 0.250 0.250 0.250 [4 per cell]
Ge 0.250 0.250 0.750 [4 per cell]


i is the most stable structure; the next one sits 0.220 eV/atom above it.


i | NdSiGe after structural relaxation. Source: the Open Quantum Materials Database, functional GGA-PBE.

Unit cell a=6.686 b=6.686 c=6.686 alpha=90.00 beta=90.00 gamma=90.00
Space group F-43m (No. 216)
Asymmetric unit:
Nd 0.000 0.000 0.000 [4 per cell]
Si 0.000 0.000 0.500 [4 per cell]
Ge 0.250 0.250 0.250 [4 per cell]


ii | NdSiGe after structural relaxation. Source: the Open Quantum Materials Database, functional GGA-PBE.

Unit cell a=4.144 b=4.159 c=15.273 alpha=90.00 beta=90.00 gamma=90.00
Space group Imma (No. 74)
Asymmetric unit:
Nd 0.000 0.250 0.121 [4 per cell]
Si 0.000 0.250 0.537 [4 per cell]
Ge 0.000 0.250 0.700 [4 per cell]


ii is the most stable structure; the next one sits 0.559 eV/atom above it.